Below is a relaxed structure of Cd10Hg4Pt, with properties calculated at the PBE level.

Cell: 7.931 7.931 7.931 Å, 106.68 106.68 115.22°
Atoms (fractional coordinates):
Cd: 0.012 0.919 0.315
Cd: 0.081 0.396 0.092
Cd: 0.250 0.750 0.500
Cd: 0.304 0.988 0.908
Cd: 0.396 0.304 0.315
Cd: 0.604 0.696 0.685
Cd: 0.696 0.012 0.092
Cd: 0.750 0.250 0.500
Cd: 0.919 0.604 0.908
Cd: 0.988 0.081 0.685
Hg: 0.250 0.551 0.801
Hg: 0.449 0.250 0.698
Hg: 0.551 0.750 0.302
Hg: 0.750 0.449 0.199
Pt: 0.000 0.000 0.000

Values from the calculation:
**Calculated density**: 9.24 g/cm3
**Electronic total energy**: -1.121 eV/atom
**Energy of formation**: -27.8 meV per atom